No. 1
DFT (GGA-PBE) results for a relaxed structure of Ac8RuPt3Br4.

The density is 8424 kg/m³. The total energy is -86.9 eV per formula unit. As for the density of states at the Fermi level: 0.5923 states/eV per atom.

It has space group C2/m (No. 12), with a = 15.285 Å, b = 8.825 Å, c = 9.698 Å, α = 90.00°, β = 121.74° and γ = 90.00°. The asymmetric unit holds Ac at (0.016, 0.244, 0.305), Ac at (0.228, 0.000, 0.695), Ac at (0.232, 0.500, 0.697), Ru at (0.000, 0.000, 0.500), Pt at (0.000, 0.500, 0.500), Pt at (0.250, 0.250, 0.500), Br at (0.000, 0.000, 0.000), Br at (0.000, 0.500, 0.000) and Br at (0.250, 0.250, 0.000).


No. 2
DFT (GGA-PBE) results for a relaxed structure of Li2CePr2Si2.

The density is 5015 kg/m³. The total energy is -32.6 eV per formula unit. As for the density of states at the Fermi level: 1.4073 states/eV per atom.

It has space group R-3m (No. 166, hexagonal axes), with a = 4.5476 Å, b = 4.5476 Å, c = 27.2862 Å, α = 90.00°, β = 90.00° and γ = 120.00°. The asymmetric unit holds Li at (0.0000, 0.0000, 0.1086), Ce at (0.0000, 0.0000, 0.5000), Pr at (0.0000, 0.0000, 0.3757) and Si at (0.0000, 0.0000, 0.2305).


No. 3
DFT (GGA-PBE) results for a relaxed structure of Er2Tl2Hg.

The value obtained for the energy relative to the lowest polymorph listed for this composition is 82.9 meV/atom. The density is 11223 kg/m³. The total energy is -14.9 eV per formula unit. For the formation energy from the elements, the calculation gives -0.144 eV per atom. As for the density of states at the Fermi level: 0.9900 states/eV per atom.

It has space group Ibam (No. 72), with a = 6.312 Å, b = 13.608 Å, c = 6.503 Å, α = 90.00°, β = 90.00° and γ = 90.00°. The asymmetric unit holds Er at (0.176, 0.172, 0.000), Tl at (0.143, 0.401, 0.000) and Hg at (0.000, 0.000, 0.250).


No. 4
DFT (GGA-PBE) results for a relaxed structure of TlBrO2.

The value obtained for the energy relative to the lowest polymorph listed for this composition is 105.6 meV/atom. The density is 6578 kg/m³. The total energy is -14.9 eV per formula unit. As for the density of states at the Fermi level: 0.1757 states/eV per atom.

It has space group P3m1 (No. 156), with a = 3.6225 Å, b = 3.6225 Å, c = 7.0251 Å, α = 90.00°, β = 90.00° and γ = 120.00°. The asymmetric unit holds Tl at (0.0000, 0.0000, 0.0000), Br at (0.3333, 0.6667, 0.5428), O at (0.3333, 0.6667, 0.8064) and O at (0.6667, 0.3333, 0.1165).


No. 5
DFT (GGA-PBE) results for a relaxed structure of BiSeBr2O.

The value obtained for the energy relative to the lowest polymorph listed for this composition is 0.0 meV/atom. The density is 7077 kg/m³. The total energy is -14.1 eV per formula unit. As for the density of states at the Fermi level: 0.4086 states/eV per atom.

It has space group P4/mmm (No. 123), with a = 4.811 Å, b = 4.811 Å, c = 4.702 Å, α = 90.00°, β = 90.00° and γ = 90.00°. The asymmetric unit holds Bi at (0.000, 0.000, 0.000), Se at (0.500, 0.500, 0.000), Br at (0.000, 0.500, 0.500) and O at (0.500, 0.500, 0.500).


No. 6
DFT (GGA-PBE) results for a relaxed structure of CsSnHg2I8.

The density is 4505 kg/m³. The total energy is -23.4 eV per formula unit. As for the density of states at the Fermi level: 0.1609 states/eV per atom.

It has space group P-1 (No. 2), with a = 6.681 Å, b = 7.160 Å, c = 13.024 Å, α = 89.55°, β = 88.95° and γ = 80.72°. The asymmetric unit holds Cs at (0.000, 0.000, 0.000), Sn at (0.000, 0.000, 0.500), Hg at (0.497, 0.499, 0.667), I at (0.216, 0.812, 0.711), I at (0.228, 0.817, 0.288), I at (0.254, 0.484, 0.000) and I at (0.277, 0.310, 0.501).


No. 7
DFT (GGA-PBE) results for a relaxed structure of K2TlSnI5.

The density is 4179 kg/m³. The total energy is -24.7 eV per formula unit. As for the density of states at the Fermi level: 0.0000 states/eV per atom.

It has space group Cmc2_1 (No. 36), with a = 5.036 Å, b = 20.958 Å, c = 15.596 Å, α = 90.00°, β = 90.00° and γ = 90.00°. The asymmetric unit holds K at (0.000, 0.109, 0.000), K at (0.000, 0.146, 0.624), Tl at (0.000, 0.217, 0.341), Sn at (0.000, 0.467, 0.763), I at (0.000, 0.052, 0.380), I at (0.000, 0.278, 0.993), I at (0.000, 0.330, 0.684), I at (0.000, 0.382, 0.314) and I at (0.000, 0.486, 0.078).


No. 8
DFT (GGA-PBE) results for a relaxed structure of ZnHg4Te2.

The density is 8477 kg/m³. The total energy is -8.0 eV per formula unit. As for the density of states at the Fermi level: 0.3275 states/eV per atom.

It has space group I4/mmm (No. 139), with a = 5.553 Å, b = 5.553 Å, c = 14.270 Å, α = 90.00°, β = 90.00° and γ = 90.00°. The asymmetric unit holds Zn at (0.000, 0.000, 0.000), Hg at (0.000, 0.000, 0.181), Hg at (0.000, 0.500, 0.000) and Te at (0.000, 0.000, 0.378).


total energy of number 8 (ZnHg4Te2)? -8.0 eV per formula unit


Repeat the fifth record exactly.
DFT (GGA-PBE) results for a relaxed structure of BiSeBr2O.

The value obtained for the energy relative to the lowest polymorph listed for this composition is 0.0 meV/atom. The density is 7077 kg/m³. The total energy is -14.1 eV per formula unit. As for the density of states at the Fermi level: 0.4086 states/eV per atom.

It has space group P4/mmm (No. 123), with a = 4.811 Å, b = 4.811 Å, c = 4.702 Å, α = 90.00°, β = 90.00° and γ = 90.00°. The asymmetric unit holds Bi at (0.000, 0.000, 0.000), Se at (0.500, 0.500, 0.000), Br at (0.000, 0.500, 0.500) and O at (0.500, 0.500, 0.500).